A relaxed structure of Li2TbCe2Si2, computed with PBE.

abc: 4.3673 4.3673 9.0268
angles: 76.00 76.00 60.00
Last column: nearest neighbours and their distance in Å.
Positions (direct):
Si 0.7354 0.7354 0.7939  3 Li 2.52
Si 0.2646 0.2646 0.2061  3 Li 2.52
Tb 0.0000 0.0000 0.0000  6 Si 3.09, 6 Li 3.13
Li 0.4044 0.4044 0.7870  3 Si 2.52
Li 0.5956 0.5956 0.2130  3 Si 2.52
Ce 0.1406 0.1406 0.5783  3 Ce 2.86, 3 Li 3.10, 3 Si 3.14
Ce 0.8594 0.8594 0.4217  3 Ce 2.86, 3 Li 3.10, 3 Si 3.14

Values from the calculation:
total energy	-4.846	eV/atom
space group	R-3m, No. 166
energy relative to the elements, uncorrected	-0.393	eV per atom